Compound: Ba2CdHg6Pd
Source: Alexandria
Functional: PBE-GGA
Structure: optimized geometry

abc: 7.6782 7.6782 7.6782
angles: 60.00 60.00 90.00
Fractional positions:
Ba1 0.2500 0.7500 0.5000
Ba2 0.7500 0.2500 0.5000
Cd1 0.5000 0.5000 0.0000
Hg1 0.2444 0.7556 0.0000
Hg2 0.7555 0.7555 0.0000
Hg3 0.2445 0.2445 0.5111
Hg4 0.7556 0.2444 0.0000
Hg5 0.2445 0.2445 0.0000
Hg6 0.7555 0.7555 0.4889
Pd1 0.0000 0.0000 0.0000

Total DFT energy (no corrections) (eV per atom): -1.443
Crystal system: cubic
Calculated volume (Å³/atom): 32.008
Total magnetic moment (Bohr magnetons per cell): 0.00
ρ (Mg/m³): 8.8